w.
A relaxed structure of InReSn3, computed with PBE.

Calculated values
* total moment: 3.90 Bohr magnetons per cell
* SG: Pm-3m (221)

a b c (Å): 5.5005 5.5005 5.5005
angles (deg): 90.00 90.00 90.00
Site moments in Bohr magnetons follow the coordinates.
Sites, in units of the cell vectors:
Sn (0.5000, 0.0000, 0.0000)  -0.06
Sn (0.0000, 0.5000, 0.0000)  -0.06
Sn (0.0000, 0.0000, 0.5000)  -0.04
In (0.0000, 0.0000, 0.0000)  0.00
Re (0.5000, 0.5000, 0.5000)  3.51

***

x.
A relaxed structure of InReSn3, computed with PBE.

Calculated values
* total moment: 0.63 Bohr magnetons per cell
* SG: Pm-3m (221)

a b c (Å): 5.2379 5.2379 5.2379
angles (deg): 90.00 90.00 90.00
Site moments in Bohr magnetons follow the coordinates.
Sites, in units of the cell vectors:
Re (0.0000, 0.0000, 0.0000)  0.35
Sn (0.0000, 0.5000, 0.0000)  0.01
Sn (0.5000, 0.0000, 0.0000)  -0.01
Sn (0.0000, 0.0000, 0.5000)  0.02
In (0.5000, 0.5000, 0.5000)  0.04

***

x ends up most stable, edging out the next structure by 127.9 kJ/mol of atoms.